Record 1
First-principles (PBE) data for a relaxed Er3Si5Te12 crystal, as listed in Alexandria.

```
Er3Si5Te12
1.0
-8.504 8.504 8.504
8.504 -8.504 8.504
8.504 8.504 -8.504
Er Si Te
12 20 48
Direct
0.125 0.250 0.375
0.125 0.375 0.750
0.250 0.375 0.125
0.250 0.875 0.625
0.375 0.125 0.250
0.375 0.750 0.125
0.625 0.250 0.875
0.625 0.875 0.750
0.750 0.125 0.375
0.750 0.625 0.875
0.875 0.625 0.250
0.875 0.750 0.625
0.000 0.000 0.000
0.000 0.000 0.500
0.000 0.500 0.000
0.000 0.500 0.500
0.125 0.750 0.875
0.125 0.875 0.250
0.250 0.125 0.875
0.250 0.625 0.375
0.375 0.250 0.625
0.375 0.625 0.750
0.500 0.000 0.000
0.500 0.000 0.500
0.500 0.500 0.000
0.500 0.500 0.500
0.625 0.375 0.250
0.625 0.750 0.375
0.750 0.375 0.625
0.750 0.875 0.125
0.875 0.125 0.750
0.875 0.250 0.125
0.037 0.214 0.128
0.037 0.323 0.909
0.086 0.714 0.677
0.086 0.872 0.409
0.091 0.628 0.414
0.091 0.963 0.677
0.128 0.037 0.214
0.128 0.591 0.914
0.177 0.214 0.586
0.177 0.463 0.591
0.214 0.128 0.037
0.214 0.586 0.177
0.286 0.323 0.914
0.286 0.463 0.372
0.323 0.909 0.037
0.323 0.914 0.286
0.372 0.286 0.463
0.372 0.586 0.909
0.409 0.086 0.872
0.409 0.823 0.537
0.414 0.091 0.628
0.414 0.823 0.786
0.463 0.372 0.286
0.463 0.591 0.177
0.537 0.409 0.823
0.537 0.628 0.714
0.586 0.177 0.214
0.586 0.909 0.372
0.591 0.177 0.463
0.591 0.914 0.128
0.628 0.414 0.091
0.628 0.714 0.537
0.677 0.086 0.714
0.677 0.091 0.963
0.714 0.537 0.628
0.714 0.677 0.086
0.786 0.414 0.823
0.786 0.872 0.963
0.823 0.537 0.409
0.823 0.786 0.414
0.872 0.409 0.086
0.872 0.963 0.786
0.909 0.037 0.323
0.909 0.372 0.586
0.914 0.128 0.591
0.914 0.286 0.323
0.963 0.677 0.091
0.963 0.786 0.872
```

Results
Crystal system: cubic
Density of states at the Fermi level, states/eV per atom: 0.157
Energy, eV for the cell shown: -345.3



Record 2
First-principles (PBE) data for a relaxed ErSiTe2 crystal, as listed in Alexandria.

```
ErSiTe2
1.0
1.958 1.131 9.153
-1.958 1.131 9.153
0.000 -2.261 9.153
Er Si Te
1 1 2
Direct
0.000 0.000 0.000
0.500 0.500 0.500
0.108 0.108 0.108
0.892 0.892 0.892
```

Results
Crystal system: trigonal
Density of states at the Fermi level, states/eV per atom: 0.434
Energy, eV for the cell shown: -16.4



Record 3
First-principles (PBE) data for a relaxed Er2SiTe crystal, as listed in Alexandria.

```
Er2SiTe
1.0
2.088 1.205 7.155
-2.088 1.205 7.155
0.000 -2.411 7.155
Er Si Te
2 1 1
Direct
0.000 0.000 0.000
0.191 0.191 0.191
0.594 0.594 0.594
0.763 0.763 0.763
```

Results
E above lowest polymorph, meV per atom: 66.5
Crystal system: trigonal
Density of states at the Fermi level, states/eV per atom: 0.186
Energy, eV for the cell shown: -21.7



Record 4
First-principles (PBE) data for a relaxed Er6SiTe5 crystal, as listed in Alexandria.

```
Er6SiTe5
1.0
3.725 -6.445 0.000
3.725 6.445 0.000
-2.473 0.000 7.011
Er Si Te
6 1 5
Direct
0.075 0.378 0.728
0.221 0.221 0.265
0.378 0.075 0.728
0.622 0.925 0.272
0.779 0.779 0.735
0.925 0.622 0.272
0.000 0.000 0.500
0.176 0.824 0.000
0.336 0.664 0.500
0.500 0.500 0.000
0.664 0.336 0.500
0.824 0.176 0.000
```

Results
Crystal system: monoclinic
Density of states at the Fermi level, states/eV per atom: 0.557
Energy, eV for the cell shown: -63.3



Record 5
First-principles (PBE) data for a relaxed Er5SiTe5 crystal, as listed in Alexandria.

```
Er5SiTe5
1.0
6.790 -3.025 0.000
6.790 3.025 0.000
-2.738 0.000 8.084
Er Si Te
5 1 5
Direct
0.000 0.000 0.000
0.345 0.345 0.158
0.345 0.345 0.685
0.655 0.655 0.315
0.655 0.655 0.842
0.500 0.500 0.000
0.164 0.164 0.825
0.173 0.173 0.336
0.500 0.500 0.500
0.827 0.827 0.664
0.836 0.836 0.175
```

Results
Crystal system: monoclinic
Density of states at the Fermi level, states/eV per atom: 0.230
Energy, eV for the cell shown: -57.9



Record 6
First-principles (PBE) data for a relaxed Er2SiTe crystal, as listed in Alexandria.

```
Er2SiTe
1.0
2.094 1.209 7.030
-2.094 1.209 7.030
0.000 -2.418 7.030
Er Si Te
2 1 1
Direct
0.239 0.239 0.239
0.761 0.761 0.761
0.500 0.500 0.500
0.000 0.000 0.000
```

Results
E above lowest polymorph, meV per atom: 0.0
Crystal system: trigonal
Density of states at the Fermi level, states/eV per atom: 0.205
Energy, eV for the cell shown: -22.0



Record 7
First-principles (PBE) data for a relaxed Er6TlSi2Te3 crystal, as listed in Alexandria.

```
Er6TlSi2Te3
1.0
9.363 -2.094 0.000
9.363 2.094 0.000
-2.201 0.000 8.415
Er Tl Si Te
6 1 2 3
Direct
0.010 0.010 0.256
0.325 0.325 0.436
0.331 0.331 0.891
0.669 0.669 0.109
0.675 0.675 0.564
0.990 0.990 0.744
0.500 0.500 0.000
0.167 0.167 0.334
0.833 0.833 0.666
0.164 0.164 0.831
0.500 0.500 0.500
0.836 0.836 0.169
```

Results
Crystal system: monoclinic
Density of states at the Fermi level, states/eV per atom: 0.420
Energy, eV for the cell shown: -61.4



Record 8
First-principles (PBE) data for a relaxed Er8ZnSi3Te4 crystal, as listed in Alexandria.

```
Er8ZnSi3Te4
1.0
4.174 2.410 7.057
-4.174 2.410 7.057
0.000 -4.820 7.057
Er Zn Si Te
8 1 3 4
Direct
0.233 0.746 0.746
0.238 0.238 0.238
0.254 0.254 0.767
0.254 0.767 0.254
0.746 0.233 0.746
0.746 0.746 0.233
0.762 0.762 0.762
0.767 0.254 0.254
0.500 0.500 0.500
0.000 0.000 0.500
0.000 0.500 0.000
0.500 0.000 0.000
0.000 0.000 0.000
0.000 0.500 0.500
0.500 0.000 0.500
0.500 0.500 0.000
```

Results
Crystal system: trigonal
Density of states at the Fermi level, states/eV per atom: 0.447
Energy, eV for the cell shown: -82.1



Record 9
First-principles (PBE) data for a relaxed ErThSi3 crystal, as listed in Alexandria.

```
ErThSi3
1.0
2.110 -12.277 0.000
2.110 12.277 0.000
0.000 0.000 3.993
Er Th Si
2 2 6
Direct
0.203 0.797 0.750
0.797 0.203 0.250
0.071 0.929 0.250
0.929 0.071 0.750
0.321 0.679 0.750
0.379 0.621 0.250
0.475 0.525 0.250
0.525 0.475 0.750
0.621 0.379 0.750
0.679 0.321 0.250
```

Results
Crystal system: orthorhombic
Density of states at the Fermi level, states/eV per atom: 0.569
Energy, eV for the cell shown: -63.5



Record 10
First-principles (PBE) data for a relaxed Er2ThSi6 crystal, as listed in Alexandria.

```
Er2ThSi6
1.0
7.109 0.000 0.000
-3.555 6.157 0.000
0.000 0.000 3.987
Er Th Si
2 1 6
Direct
0.333 0.667 0.000
0.667 0.333 0.000
0.000 0.000 0.000
0.000 0.336 0.500
0.000 0.664 0.500
0.336 0.000 0.500
0.336 0.336 0.500
0.664 0.000 0.500
0.664 0.664 0.500
```

Results
Crystal system: hexagonal
Density of states at the Fermi level, states/eV per atom: 0.298
Energy, eV for the cell shown: -54.0



Record 11
First-principles (PBE) data for a relaxed ErTh2Si2 crystal, as listed in Alexandria.

```
ErTh2Si2
1.0
7.614 0.000 0.000
0.000 7.614 0.000
0.000 0.000 4.286
Er Th Si
2 4 4
Direct
0.000 0.000 0.000
0.500 0.500 0.000
0.179 0.321 0.500
0.321 0.821 0.500
0.679 0.179 0.500
0.821 0.679 0.500
0.118 0.618 0.000
0.382 0.118 0.000
0.618 0.882 0.000
0.882 0.382 0.000
```

Results
Crystal system: tetragonal
Density of states at the Fermi level, states/eV per atom: 1.000
Energy, eV for the cell shown: -67.3



Record 12
First-principles (PBE) data for a relaxed Er2Th2Si3 crystal, as listed in Alexandria.

```
Er2Th2Si3
1.0
4.258 0.000 0.000
0.000 7.007 0.000
-2.127 -1.243 6.642
Er Th Si
2 2 3
Direct
0.129 0.371 0.258
0.871 0.629 0.742
0.376 0.135 0.752
0.624 0.865 0.248
0.000 0.000 0.000
0.254 0.744 0.508
0.746 0.256 0.492
```

Results
Crystal system: triclinic
Density of states at the Fermi level, states/eV per atom: 0.831
Energy, eV for the cell shown: -43.4



Here are the calculated E_form (uncorrected) numbers, same order: -391.6 -34.6 -1001.8 -1235.0 -1273.0 -1068.3 -946.1 -967.4 -695.8 -543.1 -678.5 -458.1 (meV/atom).